Record 1
CsTiIrC2: relaxed, PBE.

Its crystal system is tetragonal. As for the raw total energy: -5.628 eV per atom. As for the spin magnetization: 0.000 μB/f.u. The formation energy comes out at 7.92 eV per formula unit.

It has space group P4/mmm (No. 123), with a = 4.065 Å, b = 4.065 Å, c = 5.211 Å, α = 90.00°, β = 90.00° and γ = 90.00°. The inequivalent atoms are Cs at (0.000, 0.000, 0.000), Ti at (0.500, 0.500, 0.000), Ir at (0.500, 0.500, 0.500) and C at (0.000, 0.500, 0.500).

***

Record 2
Si2SbP: relaxed, PBE.

Its crystal system is tetragonal. Its energy relative to the elements, uncorrected is 0.435 eV/atom. As for the raw total energy: -4.659 eV per atom. As for the spin magnetization: 0.000 μB/f.u. The calculation puts the offset from the most stable computed form at 0.209 eV per atom.

It has space group P4mm (No. 99), with a = 3.121 Å, b = 3.121 Å, c = 7.680 Å, α = 90.00°, β = 90.00° and γ = 90.00°. The inequivalent atoms are Si at (0.000, 0.000, 0.000), Si at (0.500, 0.500, 0.196), Sb at (0.500, 0.500, 0.679) and P at (0.000, 0.000, 0.335).

***

Record 3
LiMnInPb: relaxed, PBE.

Its crystal system is cubic. As for the raw total energy: -4.311 eV per atom. As for the spin magnetization: 4.071 μB/f.u. The formation energy comes out at 0.29 eV per formula unit.

It has space group F-43m (No. 216), with a = 6.939 Å, b = 6.939 Å, c = 6.939 Å, α = 90.00°, β = 90.00° and γ = 90.00°. The inequivalent atoms are Li at (0.000, 0.000, 0.000), Mn at (0.000, 0.000, 0.500), In at (0.250, 0.250, 0.250) and Pb at (0.250, 0.250, 0.750).

***

Record 4
ZnInGaAu: relaxed, PBE.

Its crystal system is cubic. As for the raw total energy: -2.586 eV per atom. As for the spin magnetization: 0.000 μB/f.u. The formation energy comes out at -0.03 eV per formula unit.

It has space group F-43m (No. 216), with a = 6.806 Å, b = 6.806 Å, c = 6.806 Å, α = 90.00°, β = 90.00° and γ = 90.00°. The inequivalent atoms are Zn at (0.000, 0.000, 0.000), In at (0.250, 0.250, 0.250), Ga at (0.250, 0.250, 0.750) and Au at (0.000, 0.000, 0.500).